[1]
## K2CuOs (PBE-GGA)

Data for a relaxed structure of K2CuOs.

Unit cell a=10.1620 b=10.1620 c=10.1620 alpha=164.45 beta=155.50 gamma=29.15
Atoms (fractional coordinates):
1 Cu 0.2500 0.7500 0.5000
2 K 0.1085 0.1085 0.0000
3 Os 0.7500 0.2500 0.5000
4 K 0.3915 0.3915 0.0000

energy above the most stable polymorph in this dataset	60	meV/atom
volume	116.6	Å³/f.u.
VASP energy	-14.1	eV per cell
symmetry	Immm (71)


[2]
## KCuOs2 (PBE-GGA)

Data for a relaxed structure of KCuOs2.

Unit cell a=4.5480 b=4.5480 c=4.5480 alpha=60.00 beta=60.00 gamma=60.00
Atoms (fractional coordinates):
1 K 0.0000 0.0000 0.0000
2 Os 0.2500 0.2500 0.2500
3 Os 0.7500 0.7500 0.7500
4 Cu 0.5000 0.5000 0.5000

energy above the most stable polymorph in this dataset	1390	meV/atom
volume	66.5	Å³/f.u.
VASP energy	-19.3	eV per cell
symmetry	Fm-3m (225)


[3]
## KCuOs2 (PBE-GGA)

Data for a relaxed structure of KCuOs2.

Unit cell a=4.6211 b=4.6211 c=9.6459 alpha=76.14 beta=76.14 gamma=90.00
Atoms (fractional coordinates):
1 Cu 0.0000 0.0000 0.0000
2 Os 0.8750 0.1772 0.7500
3 Os 0.8228 0.6250 0.2500
4 K 0.5000 0.5000 0.0000
5 Os 0.9272 0.1250 0.2500
6 Cu 0.7500 0.2500 0.5000
7 K 0.2500 0.7500 0.5000
8 Os 0.3750 0.0728 0.7500

energy above the most stable polymorph in this dataset	766	meV/atom
volume	96.9	Å³/f.u.
VASP energy	-43.6	eV per cell
symmetry	I-42d (122)


[4]
## KCuOs2 (PBE-GGA)

Data for a relaxed structure of KCuOs2.

Unit cell a=3.7256 b=3.7256 c=5.0300 alpha=90.00 beta=90.00 gamma=90.00
Atoms (fractional coordinates):
1 Os 0.0000 0.0000 0.0000
2 Cu 0.5000 0.0000 0.5000
3 Os 0.5000 0.5000 0.0000
4 K 0.0000 0.5000 0.5000

energy above the most stable polymorph in this dataset	797	meV/atom
volume	69.8	Å³/f.u.
VASP energy	-21.7	eV per cell
symmetry	P4/mmm (123)


[5]
## K2CuOs (PBE-GGA)

Data for a relaxed structure of K2CuOs.

Unit cell a=6.0553 b=6.0553 c=6.0553 alpha=139.17 beta=124.21 gamma=71.41
Atoms (fractional coordinates):
1 Os 0.4233 0.4233 0.0000
2 K 0.0295 0.0295 0.0000
3 K 0.7263 0.2263 0.5000
4 Cu 0.3208 0.8208 0.5000

energy above the most stable polymorph in this dataset	303	meV/atom
volume	117.7	Å³/f.u.
VASP energy	-13.1	eV per cell
symmetry	Imm2 (44)


[6]
## K2CuOs (PBE-GGA)

Data for a relaxed structure of K2CuOs.

Unit cell a=5.5506 b=5.5506 c=5.5506 alpha=60.00 beta=60.00 gamma=60.00
Atoms (fractional coordinates):
1 K 0.2500 0.2500 0.2500
2 K 0.7500 0.7500 0.7500
3 Cu 0.0000 0.0000 0.0000
4 Os 0.5000 0.5000 0.5000

energy above the most stable polymorph in this dataset	859	meV/atom
volume	120.9	Å³/f.u.
VASP energy	-10.9	eV per cell
symmetry	Fm-3m (225)


[7]
## K2CuSiOs (PBE-GGA)

Data for a relaxed structure of K2CuSiOs.

Unit cell a=6.1014 b=6.1014 c=4.3609 alpha=90.00 beta=90.00 gamma=90.00
Atoms (fractional coordinates):
1 Si 0.0000 0.0000 0.5000
2 Os 0.5000 0.5000 0.5000
3 Cu 0.0000 0.0000 0.0000
4 K 0.5000 0.0000 0.0000
5 K 0.0000 0.5000 0.0000

volume	162.3	Å³/f.u.
VASP energy	-15.9	eV per cell
symmetry	P4/mmm (123)


[8]
## K2SrCuOs (PBE-GGA)

Data for a relaxed structure of K2SrCuOs.

Unit cell a=5.6454 b=6.0389 c=5.6454 alpha=90.00 beta=90.00 gamma=90.00
Atoms (fractional coordinates):
1 K 0.0000 0.0000 0.5000
2 Cu 0.0000 0.0000 0.0000
3 Os 0.5000 0.5000 0.5000
4 Sr 0.0000 0.5000 0.0000
5 K 0.5000 0.0000 0.0000

volume	192.5	Å³/f.u.
VASP energy	-12.4	eV per cell
symmetry	P4/mmm (123)


[9]
## K2TaCuOs (PBE-GGA)

Data for a relaxed structure of K2TaCuOs.

Unit cell a=6.5546 b=4.8554 c=6.5546 alpha=90.00 beta=90.00 gamma=90.00
Atoms (fractional coordinates):
1 Os 0.5000 0.5000 0.5000
2 Cu 0.0000 0.5000 0.0000
3 K 0.5000 0.0000 0.0000
4 K 0.0000 0.0000 0.5000
5 Ta 0.0000 0.0000 0.0000

volume	208.6	Å³/f.u.
VASP energy	-16.5	eV per cell
symmetry	P4/mmm (123)


[10]
## KTlCuOs2 (PBE-GGA)

Data for a relaxed structure of KTlCuOs2.

Unit cell a=4.6689 b=5.3695 c=4.6689 alpha=90.00 beta=90.00 gamma=90.00
Atoms (fractional coordinates):
1 Cu 0.0000 0.0000 0.0000
2 Os 0.5000 0.0000 0.0000
3 K 0.0000 0.5000 0.0000
4 Os 0.0000 0.0000 0.5000
5 Tl 0.5000 0.5000 0.5000

volume	117.0	Å³/f.u.
VASP energy	-21.5	eV per cell
symmetry	P4/mmm (123)


[11]
## KCu4P (PBE-GGA)

Data for a relaxed structure of KCu4P.

Unit cell a=5.0966 b=5.0966 c=5.0966 alpha=60.00 beta=60.00 gamma=60.00
Atoms (fractional coordinates):
1 Cu 0.8761 0.3746 0.3746
2 Cu 0.3746 0.3746 0.3746
3 K 0.7500 0.7500 0.7500
4 Cu 0.3746 0.3746 0.8761
5 Cu 0.3746 0.8761 0.3746
6 P 0.0000 0.0000 0.0000

volume	93.6	Å³/f.u.
VASP energy	-20.9	eV per cell
symmetry	F-43m (216)


[12]
## K2Cu2P (PBE-GGA)

Data for a relaxed structure of K2Cu2P.

Unit cell a=3.4056 b=3.4056 c=10.7173 alpha=80.86 beta=80.86 gamma=90.00
Atoms (fractional coordinates):
1 Cu 0.2500 0.7500 0.5000
2 Cu 0.7500 0.2500 0.5000
3 P 0.0000 0.0000 0.0000
4 K 0.3956 0.3956 0.2089
5 K 0.6044 0.6044 0.7911

energy above the most stable polymorph in this dataset	119	meV/atom
volume	121.1	Å³/f.u.
VASP energy	-14.6	eV per cell
symmetry	I4/mmm (139)